[1]
Below is a geometry-optimized ReSe2S structure, with properties calculated at the GGA-PBE level.

Structure (CIF):
```
data_ReSe2S
_chemical_formula_sum 'Re4 Se8 S4'
_symmetry_space_group_name_H-M 'F m -3 m'
_symmetry_Int_Tables_number 225
_symmetry_space_group_name_Hall '-F 4 2 3'
_cell_length_a 6.396
_cell_length_b 6.396
_cell_length_c 6.396
_cell_angle_alpha 90.00
_cell_angle_beta 90.00
_cell_angle_gamma 90.00
loop_
_atom_site_label
_atom_site_fract_x
_atom_site_fract_y
_atom_site_fract_z
Re1 0.000 0.000 0.000
Se1 0.250 0.250 0.250
S1 0.000 0.000 0.500
```

Results
- ΔE_f (raw): 819 meV per atom
- Crystal system: cubic
- Electronic total energy: -81.1 eV for the cell shown
- Relative energy among the computed polymorphs: 456 meV/atom

***

[2]
Below is a geometry-optimized Re3SeS structure, with properties calculated at the GGA-PBE level.

Structure (CIF):
```
data_Re3SeS
_chemical_formula_sum 'Re3 Se1 S1'
_symmetry_space_group_name_H-M 'P m -3 m'
_symmetry_Int_Tables_number 221
_symmetry_space_group_name_Hall '-P 4 2 3'
_cell_length_a 4.403
_cell_length_b 4.403
_cell_length_c 4.403
_cell_angle_alpha 90.00
_cell_angle_beta 90.00
_cell_angle_gamma 90.00
loop_
_atom_site_label
_atom_site_fract_x
_atom_site_fract_y
_atom_site_fract_z
Re1 0.000 0.000 0.500
Se1 0.500 0.500 0.500
S1 0.000 0.000 0.000
```

Results
- ΔE_f (raw): 1329 meV per atom
- Crystal system: cubic
- Electronic total energy: -38.3 eV for the cell shown
- Relative energy among the computed polymorphs: 0 meV/atom

***

[3]
Below is a geometry-optimized Re4Se2S3 structure, with properties calculated at the GGA-PBE level.

Structure (CIF):
```
data_Re4Se2S3
_chemical_formula_sum 'Re16 Se8 S12'
_symmetry_space_group_name_H-M 'C 1 2/c 1'
_symmetry_Int_Tables_number 15
_symmetry_space_group_name_Hall '-C 2yc'
_cell_length_a 10.101
_cell_length_b 14.523
_cell_length_c 5.536
_cell_angle_alpha 90.00
_cell_angle_beta 99.35
_cell_angle_gamma 90.00
loop_
_atom_site_label
_atom_site_fract_x
_atom_site_fract_y
_atom_site_fract_z
Re1 0.115 0.028 0.150
Re2 0.130 0.497 0.540
Se1 0.193 0.362 0.827
S1 0.000 0.400 0.250
S2 0.074 0.120 0.503
```

Results
- ΔE_f (raw): -200 meV per atom
- Crystal system: monoclinic
- Electronic total energy: -283.8 eV for the cell shown

***

[4]
Below is a geometry-optimized ReSe3S structure, with properties calculated at the GGA-PBE level.

Structure (CIF):
```
data_ReSe3S
_chemical_formula_sum 'Re1 Se3 S1'
_symmetry_space_group_name_H-M 'P m -3 m'
_symmetry_Int_Tables_number 221
_symmetry_space_group_name_Hall '-P 4 2 3'
_cell_length_a 4.844
_cell_length_b 4.844
_cell_length_c 4.844
_cell_angle_alpha 90.00
_cell_angle_beta 90.00
_cell_angle_gamma 90.00
loop_
_atom_site_label
_atom_site_fract_x
_atom_site_fract_y
_atom_site_fract_z
Re1 0.000 0.000 0.000
Se1 0.000 0.000 0.500
S1 0.500 0.500 0.500
```

Results
- ΔE_f (raw): 718 meV per atom
- Crystal system: cubic
- Electronic total energy: -23.4 eV for the cell shown
- Relative energy among the computed polymorphs: 0 meV/atom

***

[5]
Below is a geometry-optimized ReSe2S structure, with properties calculated at the GGA-PBE level.

Structure (CIF):
```
data_ReSe2S
_chemical_formula_sum 'Re3 Se6 S3'
_symmetry_space_group_name_H-M 'R -3 m'
_symmetry_Int_Tables_number 166
_symmetry_space_group_name_Hall '-R 3 2"'
_cell_length_a 3.1488
_cell_length_b 3.1488
_cell_length_c 25.8632
_cell_angle_alpha 90.00
_cell_angle_beta 90.00
_cell_angle_gamma 120.00
loop_
_atom_site_label
_atom_site_fract_x
_atom_site_fract_y
_atom_site_fract_z
Re1 0.0000 0.0000 0.0000
Se1 0.0000 0.0000 0.0916
S1 0.0000 0.0000 0.5000
```

Results
- ΔE_f (raw): 934 meV per atom
- Crystal system: trigonal
- Electronic total energy: -59.4 eV for the cell shown
- Relative energy among the computed polymorphs: 571 meV/atom

***

[6]
Below is a geometry-optimized ReSe3S structure, with properties calculated at the GGA-PBE level.

Structure (CIF):
```
data_ReSe3S
_chemical_formula_sum 'Re1 Se3 S1'
_symmetry_space_group_name_H-M 'P m -3 m'
_symmetry_Int_Tables_number 221
_symmetry_space_group_name_Hall '-P 4 2 3'
_cell_length_a 4.649
_cell_length_b 4.649
_cell_length_c 4.649
_cell_angle_alpha 90.00
_cell_angle_beta 90.00
_cell_angle_gamma 90.00
loop_
_atom_site_label
_atom_site_fract_x
_atom_site_fract_y
_atom_site_fract_z
Re1 0.000 0.000 0.000
Se1 0.000 0.500 0.500
S1 0.500 0.500 0.500
```

Results
- ΔE_f (raw): 1499 meV per atom
- Crystal system: cubic
- Electronic total energy: -19.5 eV for the cell shown
- Relative energy among the computed polymorphs: 781 meV/atom

***

Copy entry 3 word for word.
Below is a geometry-optimized Re4Se2S3 structure, with properties calculated at the GGA-PBE level.

Structure (CIF):
```
data_Re4Se2S3
_chemical_formula_sum 'Re16 Se8 S12'
_symmetry_space_group_name_H-M 'C 1 2/c 1'
_symmetry_Int_Tables_number 15
_symmetry_space_group_name_Hall '-C 2yc'
_cell_length_a 10.101
_cell_length_b 14.523
_cell_length_c 5.536
_cell_angle_alpha 90.00
_cell_angle_beta 99.35
_cell_angle_gamma 90.00
loop_
_atom_site_label
_atom_site_fract_x
_atom_site_fract_y
_atom_site_fract_z
Re1 0.115 0.028 0.150
Re2 0.130 0.497 0.540
Se1 0.193 0.362 0.827
S1 0.000 0.400 0.250
S2 0.074 0.120 0.503
```

Results
- ΔE_f (raw): -200 meV per atom
- Crystal system: monoclinic
- Electronic total energy: -283.8 eV for the cell shown